VASP calculation (PBE-GGA) on LiCaHoSi after structural relaxation.

Properties
Formation energy without anion corrections = -0.2791 eV per atom
Space-group type = F-43m, No. 216

a = 5.0310 Å, b = 5.0310 Å, c = 5.0310 Å
α = 60.00°, β = 60.00°, γ = 60.00°
Fractional positions:
Ca (0.5000, 0.5000, 0.5000)
Li (0.2500, 0.2500, 0.2500)
Ho (0.0000, 0.0000, 0.0000)
Si (0.7500, 0.7500, 0.7500)

VASP calculation (PBE-GGA) on LaTl2HgAs after structural relaxation.

Properties
ΔE_f = 0.260 eV per atom
Space-group type = P4/mmm, No. 123

a = 5.3957 Å, b = 6.1726 Å, c = 5.3957 Å
α = 90.00°, β = 90.00°, γ = 90.00°
Fractional positions:
Tl (0.5000, 0.0000, 0.0000)
Tl (0.0000, 0.0000, 0.5000)
Hg (0.0000, 0.0000, 0.0000)
As (0.5000, 0.5000, 0.5000)
La (0.0000, 0.5000, 0.0000)

VASP calculation (PBE-GGA) on LiCrCu after structural relaxation.

Properties
ΔE_f = 0.540 eV per atom
Space-group type = P-6m2, No. 187

a = 4.4007 Å, b = 4.4007 Å, c = 2.3238 Å
α = 90.00°, β = 90.00°, γ = 120.00°
Fractional positions:
Cr (0.3333, 0.6667, 0.0000)
Cu (0.0000, 0.0000, 0.0000)
Li (0.6667, 0.3333, 0.5000)